(1)
A geometry-optimized NaLa2Sn2 structure. Source: the Alexandria database, functional GGA-PBE.

Properties
space group = P4/mbm (127)
E above lowest polymorph = 0 kJ/mol of formula units
N(E_F) = 5.23 states/eV/cell
calculated total energy = -4.445 eV per atom
ΔH_f (0 K) = -0.61 eV per atom

a b c (Å): 8.3308 8.3308 4.6122
angles (deg): 90.00 90.00 90.00
Fractional positions:
Na  0.0000  0.0000  0.0000
Na  0.5000  0.5000  0.0000
La  0.1744  0.3256  0.5000
La  0.3256  0.8256  0.5000
La  0.6744  0.1744  0.5000
La  0.8256  0.6744  0.5000
Sn  0.1248  0.6248  0.0000
Sn  0.3752  0.1248  0.0000
Sn  0.6248  0.8752  0.0000
Sn  0.8752  0.3752  0.0000


(2)
A geometry-optimized NaLaSn2 structure. Source: the Alexandria database, functional GGA-PBE.

Properties
space group = I-42d (122)
N(E_F) = 8.10 states/eV/cell
calculated total energy = -3.774 eV per atom
ΔH_f (0 K) = -0.21 eV per atom

a b c (Å): 8.5107 8.5107 6.6161
angles (deg): 90.00 90.00 90.00
Fractional positions:
Na  0.0000  0.0000  0.0000
Na  0.0000  0.5000  0.2500
Na  0.5000  0.0000  0.7500
Na  0.5000  0.5000  0.5000
La  0.0000  0.0000  0.5000
La  0.0000  0.5000  0.7500
La  0.5000  0.0000  0.2500
La  0.5000  0.5000  0.0000
Sn  0.2233  0.2500  0.1250
Sn  0.2500  0.7233  0.3750
Sn  0.2500  0.7767  0.8750
Sn  0.2767  0.2500  0.6250
Sn  0.7233  0.7500  0.6250
Sn  0.7500  0.2233  0.8750
Sn  0.7500  0.2767  0.3750
Sn  0.7767  0.7500  0.1250


(3)
A geometry-optimized NaLaSn structure. Source: the Alexandria database, functional GGA-PBE.

Properties
space group = P3m1 (156)
N(E_F) = 0.90 states/eV/cell
calculated total energy = -3.797 eV per atom
ΔH_f (0 K) = -0.38 eV per atom

a b c (Å): 5.2866 5.2866 3.6524
angles (deg): 90.00 90.00 120.00
Fractional positions:
Na  0.0000  0.0000  0.0000
La  0.6667  0.3333  0.4959
Sn  0.3333  0.6667  0.9911


(4)
A geometry-optimized Na2LaSn structure. Source: the Alexandria database, functional GGA-PBE.

Properties
space group = R-3m (166)
N(E_F) = 15.35 states/eV/cell
calculated total energy = -2.781 eV per atom
ΔH_f (0 K) = 0.11 eV per atom

a b c (Å): 3.4051 3.4051 38.0427
angles (deg): 90.00 90.00 120.00
Fractional positions:
Na  0.0000  0.0000  0.0931
Na  0.0000  0.0000  0.9069
Na  0.3333  0.6667  0.5735
Na  0.3333  0.6667  0.7598
Na  0.6667  0.3333  0.2402
Na  0.6667  0.3333  0.4265
La  0.0000  0.0000  0.0000
La  0.3333  0.6667  0.6667
La  0.6667  0.3333  0.3333
Sn  0.0000  0.0000  0.5000
Sn  0.3333  0.6667  0.1667
Sn  0.6667  0.3333  0.8333


(5)
A geometry-optimized Na2LaSn structure. Source: the Alexandria database, functional GGA-PBE.

Properties
space group = I-42d (122)
N(E_F) = 11.55 states/eV/cell
calculated total energy = -2.792 eV per atom
ΔH_f (0 K) = 0.10 eV per atom

a b c (Å): 5.2031 5.2031 27.9041
angles (deg): 90.00 90.00 90.00
Fractional positions:
Na  0.2117  0.2500  0.1250
Na  0.2500  0.7117  0.3750
Na  0.2500  0.7883  0.8750
Na  0.2883  0.2500  0.6250
Na  0.7117  0.7500  0.6250
Na  0.7500  0.2117  0.8750
Na  0.7500  0.2883  0.3750
Na  0.7883  0.7500  0.1250
La  0.0000  0.0000  0.5000
La  0.0000  0.5000  0.7500
La  0.5000  0.0000  0.2500
La  0.5000  0.5000  0.0000
Sn  0.0000  0.0000  0.0000
Sn  0.0000  0.5000  0.2500
Sn  0.5000  0.0000  0.7500
Sn  0.5000  0.5000  0.5000


(6)
A geometry-optimized NaLaSn4 structure. Source: the Alexandria database, functional GGA-PBE.

Properties
space group = F-43m (216)
calculated total energy = -4.064 eV per atom
ΔH_f (0 K) = -0.35 eV per atom

a b c (Å): 6.2595 6.2595 6.2595
angles (deg): 60.00 60.00 60.00
Fractional positions:
Na  0.0000  0.0000  0.0000
La  0.2500  0.2500  0.2500
Sn  0.1252  0.6249  0.6249
Sn  0.6249  0.1252  0.6249
Sn  0.6249  0.6249  0.1252
Sn  0.6249  0.6249  0.6249


(7)
A geometry-optimized NaSrLaSn structure. Source: the Alexandria database, functional GGA-PBE.

Properties
space group = F-43m (216)
N(E_F) = 10.70 states/eV/cell
calculated total energy = -3.333 eV per atom
ΔH_f (0 K) = -0.35 eV per atom

a b c (Å): 8.0650 8.0650 8.0650
angles (deg): 90.00 90.00 90.00
Fractional positions:
Na  0.0000  0.0000  0.0000
Na  0.0000  0.5000  0.5000
Na  0.5000  0.0000  0.5000
Na  0.5000  0.5000  0.0000
Sr  0.2500  0.2500  0.7500
Sr  0.2500  0.7500  0.2500
Sr  0.7500  0.2500  0.2500
Sr  0.7500  0.7500  0.7500
La  0.2500  0.2500  0.2500
La  0.2500  0.7500  0.7500
La  0.7500  0.2500  0.7500
La  0.7500  0.7500  0.2500
Sn  0.0000  0.0000  0.5000
Sn  0.0000  0.5000  0.0000
Sn  0.5000  0.0000  0.0000
Sn  0.5000  0.5000  0.5000


(8)
A geometry-optimized NaLaTbSn structure. Source: the Alexandria database, functional GGA-PBE.

Properties
space group = F-43m (216)
N(E_F) = 13.40 states/eV/cell
calculated total energy = -4.035 eV per atom
ΔH_f (0 K) = -0.32 eV per atom

a b c (Å): 7.7454 7.7454 7.7454
angles (deg): 90.00 90.00 90.00
Fractional positions:
Na  0.0000  0.0000  0.0000
Na  0.0000  0.5000  0.5000
Na  0.5000  0.0000  0.5000
Na  0.5000  0.5000  0.0000
La  0.2500  0.2500  0.2500
La  0.2500  0.7500  0.7500
La  0.7500  0.2500  0.7500
La  0.7500  0.7500  0.2500
Tb  0.2500  0.2500  0.7500
Tb  0.2500  0.7500  0.2500
Tb  0.7500  0.2500  0.2500
Tb  0.7500  0.7500  0.7500
Sn  0.0000  0.0000  0.5000
Sn  0.0000  0.5000  0.0000
Sn  0.5000  0.0000  0.0000
Sn  0.5000  0.5000  0.5000


(9)
A geometry-optimized Na2LaSn3Te6 structure. Source: the Alexandria database, functional GGA-PBE.

Properties
ΔE_f (raw) = -699 meV per atom
space group = C2/m (12)
N(E_F) = 5.77 states/eV/cell
calculated total energy = -3.901 eV per atom

a b c (Å): 7.7605 7.7605 8.0728
angles (deg): 99.21 99.21 120.00
Fractional positions:
Na  0.1676  0.8324  0.0000
Na  0.8324  0.1676  0.0000
La  0.5000  0.5000  0.0000
Sn  0.0000  0.0000  0.5000
Sn  0.3363  0.6637  0.5000
Sn  0.6637  0.3363  0.5000
Te  0.0867  0.4138  0.7437
Te  0.2589  0.2589  0.2617
Te  0.4138  0.0867  0.7437
Te  0.5862  0.9133  0.2563
Te  0.7411  0.7411  0.7383
Te  0.9133  0.5862  0.2563


(10)
A geometry-optimized NaLa2SnTe4 structure. Source: the Alexandria database, functional GGA-PBE.

Properties
ΔE_f (raw) = -1118 meV per atom
space group = P2/m (10)
N(E_F) = 4.29 states/eV/cell
calculated total energy = -4.586 eV per atom

a b c (Å): 7.8776 4.5455 8.0539
angles (deg): 90.00 108.80 90.00
Fractional positions:
Na  0.0000  0.0000  0.0000
La  0.0000  0.5000  0.5000
La  0.5000  0.0000  0.5000
Sn  0.5000  0.5000  0.0000
Te  0.2521  0.5000  0.2490
Te  0.2529  0.0000  0.7553
Te  0.7471  0.0000  0.2447
Te  0.7479  0.5000  0.7510


(11)
A geometry-optimized NaLaSnTe3 structure. Source: the Alexandria database, functional GGA-PBE.

Properties
ΔE_f (raw) = -931 meV per atom
space group = P2_1/m (11)
calculated total energy = -4.211 eV per atom

a b c (Å): 9.3008 4.4601 10.6231
angles (deg): 90.00 103.82 90.00
Fractional positions:
Na  0.1327  0.2500  0.1068
Na  0.8673  0.7500  0.8932
La  0.1817  0.2500  0.7200
La  0.8183  0.7500  0.2800
Sn  0.3269  0.7500  0.3691
Sn  0.6731  0.2500  0.6309
Te  0.0919  0.2500  0.3955
Te  0.2219  0.7500  0.9441
Te  0.4219  0.7500  0.6528
Te  0.5781  0.2500  0.3472
Te  0.7781  0.2500  0.0559
Te  0.9081  0.7500  0.6045


(12)
A geometry-optimized NaLaTlSn structure. Source: the Alexandria database, functional GGA-PBE.

Properties
space group = Pmmm (47)
E above lowest polymorph = 0 kJ/mol of formula units
N(E_F) = 2.33 states/eV/cell
calculated total energy = -3.561 eV per atom
ΔH_f (0 K) = -0.41 eV per atom

a b c (Å): 4.4688 4.9588 5.2854
angles (deg): 90.00 90.00 90.00
Fractional positions:
Na  0.0000  0.0000  0.0000
La  0.0000  0.5000  0.5000
Tl  0.5000  0.5000  0.0000
Sn  0.5000  0.0000  0.5000


(13)
A geometry-optimized NaLaTlSn structure. Source: the Alexandria database, functional GGA-PBE.

Properties
space group = F-43m (216)
E above lowest polymorph = 10 kJ/mol of formula units
N(E_F) = 10.68 states/eV/cell
calculated total energy = -3.535 eV per atom
ΔH_f (0 K) = -0.38 eV per atom

a b c (Å): 7.7556 7.7556 7.7556
angles (deg): 90.00 90.00 90.00
Fractional positions:
Na  0.0000  0.0000  0.0000
Na  0.0000  0.5000  0.5000
Na  0.5000  0.0000  0.5000
Na  0.5000  0.5000  0.0000
La  0.0000  0.0000  0.5000
La  0.0000  0.5000  0.0000
La  0.5000  0.0000  0.0000
La  0.5000  0.5000  0.5000
Tl  0.2500  0.2500  0.7500
Tl  0.2500  0.7500  0.2500
Tl  0.7500  0.2500  0.2500
Tl  0.7500  0.7500  0.7500
Sn  0.2500  0.2500  0.2500
Sn  0.2500  0.7500  0.7500
Sn  0.7500  0.2500  0.7500
Sn  0.7500  0.7500  0.2500


(14)
A geometry-optimized NaSr3La structure. Source: the Alexandria database, functional GGA-PBE.

Properties
space group = Pm-3m (221)
E above lowest polymorph = 0 kJ/mol of formula units
N(E_F) = 8.58 states/eV/cell
calculated total energy = -1.788 eV per atom
ΔH_f (0 K) = 0.47 eV per atom

a b c (Å): 6.3160 6.3160 6.3160
angles (deg): 90.00 90.00 90.00
Fractional positions:
Na  0.0000  0.0000  0.0000
Sr  0.0000  0.0000  0.5000
Sr  0.0000  0.5000  0.0000
Sr  0.5000  0.0000  0.0000
La  0.5000  0.5000  0.5000


(15)
A geometry-optimized Na2SrLa structure. Source: the Alexandria database, functional GGA-PBE.

Properties
space group = P4/mmm (123)
E above lowest polymorph = 6 kJ/mol of formula units
N(E_F) = 5.50 states/eV/cell
calculated total energy = -2.087 eV per atom
ΔH_f (0 K) = 0.22 eV per atom

a b c (Å): 6.3585 6.3585 3.9964
angles (deg): 90.00 90.00 90.00
Fractional positions:
Na  0.0000  0.5000  0.0000
Na  0.5000  0.0000  0.0000
Sr  0.0000  0.0000  0.5000
La  0.5000  0.5000  0.5000


(16)
A geometry-optimized Na2SrLa2 structure. Source: the Alexandria database, functional GGA-PBE.

Properties
space group = P4/mbm (127)
E above lowest polymorph = 0 kJ/mol of formula units
N(E_F) = 15.69 states/eV/cell
calculated total energy = -2.522 eV per atom
ΔH_f (0 K) = 0.31 eV per atom

a b c (Å): 10.2316 10.2316 3.7665
angles (deg): 90.00 90.00 90.00
Fractional positions:
Na  0.1871  0.3129  0.0000
Na  0.3129  0.8129  0.0000
Na  0.6871  0.1871  0.0000
Na  0.8129  0.6871  0.0000
Sr  0.0000  0.0000  0.5000
Sr  0.5000  0.5000  0.5000
La  0.1034  0.6034  0.5000
La  0.3966  0.1034  0.5000
La  0.6034  0.8966  0.5000
La  0.8966  0.3966  0.5000


(17)
A geometry-optimized NaSrLa structure. Source: the Alexandria database, functional GGA-PBE.

Properties
space group = P-1 (2)
E above lowest polymorph = 0 kJ/mol of formula units
N(E_F) = 5.47 states/eV/cell
calculated total energy = -2.486 eV per atom
ΔH_f (0 K) = 0.16 eV per atom

a b c (Å): 4.1034 6.5602 9.8580
angles (deg): 104.53 90.52 90.07
Fractional positions:
Na  0.2468  0.2201  0.4716
Na  0.7532  0.7799  0.5284
Sr  0.2462  0.5622  0.1816
Sr  0.7538  0.4378  0.8184
La  0.2609  0.9574  0.8695
La  0.7391  0.0426  0.1305


(18)
A geometry-optimized NaSrLa structure. Source: the Alexandria database, functional GGA-PBE.

Properties
space group = I4mm (107)
E above lowest polymorph = 5 kJ/mol of formula units
N(E_F) = 8.11 states/eV/cell
calculated total energy = -2.470 eV per atom
ΔH_f (0 K) = 0.17 eV per atom

a b c (Å): 3.8336 3.8336 17.2467
angles (deg): 90.00 90.00 90.00
Fractional positions:
Na  0.0000  0.0000  0.0000
Na  0.5000  0.5000  0.5000
Sr  0.0000  0.0000  0.3286
Sr  0.5000  0.5000  0.8286
La  0.0000  0.0000  0.6568
La  0.5000  0.5000  0.1568


(19)
A geometry-optimized Na2SrLa structure. Source: the Alexandria database, functional GGA-PBE.

Properties
space group = R-3m (166)
E above lowest polymorph = 19 kJ/mol of formula units
N(E_F) = 14.64 states/eV/cell
calculated total energy = -2.054 eV per atom
ΔH_f (0 K) = 0.26 eV per atom

a b c (Å): 3.7570 3.7570 41.4689
angles (deg): 90.00 90.00 120.00
Fractional positions:
Na  0.0000  0.0000  0.0860
Na  0.0000  0.0000  0.9140
Na  0.3333  0.6667  0.5807
Na  0.3333  0.6667  0.7526
Na  0.6667  0.3333  0.2474
Na  0.6667  0.3333  0.4193
Sr  0.0000  0.0000  0.5000
Sr  0.3333  0.6667  0.1667
Sr  0.6667  0.3333  0.8333
La  0.0000  0.0000  0.0000
La  0.3333  0.6667  0.6667
La  0.6667  0.3333  0.3333


(20)
A geometry-optimized NaSrLa structure. Source: the Alexandria database, functional GGA-PBE.

Properties
space group = P3m1 (156)
E above lowest polymorph = 0 kJ/mol of formula units
N(E_F) = 3.77 states/eV/cell
calculated total energy = -2.485 eV per atom
ΔH_f (0 K) = 0.16 eV per atom

a b c (Å): 3.8868 3.8868 9.7664
angles (deg): 90.00 90.00 120.00
Fractional positions:
Na  0.0000  0.0000  0.0000
Sr  0.3333  0.6667  0.6553
La  0.6667  0.3333  0.3225


no.,total magnetic moment (μB per atom)
1,0.162
2,0.000
3,0.000
4,0.123
5,0.000
6,0.000
7,0.000
8,0.001
9,0.000
10,0.000
11,0.000
12,0.000
13,0.000
14,0.363
15,0.004
16,0.000
17,0.000
18,0.000
19,0.001
20,0.002